1.
KZrP2O8 | meta-GGA SCAN | single point on PBEsol structure

The value obtained for the energy relative to the elements, uncorrected is -2685 meV per atom. As for the total energy: -0.869 Ry per atom. The density of states at the Fermi level is 12.36 states/eV/cell.

Geometry as CIF:
```
data_KZrP2O8
_space_group_name_H-M_alt 'P 1'
_space_group_IT_number 1
_space_group_name_Hall 'P 1'
_cell_length_a 5.359
_cell_length_b 9.258
_cell_length_c 14.822
_cell_angle_alpha 92.77
_cell_angle_beta 90.00
_cell_angle_gamma 90.00
loop_
_atom_site_label
_atom_site_type_symbol
_atom_site_fract_x
_atom_site_fract_y
_atom_site_fract_z
O1 O 0.773 0.074 0.079
Zr1 Zr 0.250 0.750 0.500
P1 P 0.756 0.924 0.119
P2 P 0.256 0.076 0.381
K1 K 0.719 0.250 0.750
O2 O 0.727 0.426 0.922
O3 O 0.763 0.938 0.722
O4 O 0.491 0.336 0.091
O5 O 0.273 0.574 0.078
O6 O 0.524 0.655 0.420
O7 O 0.509 0.664 0.909
O8 O 0.524 0.845 0.080
O9 O 0.476 0.155 0.920
O10 O 0.009 0.164 0.909
O11 O 0.737 0.937 0.222
O12 O 0.024 0.345 0.080
K2 K 0.219 0.750 0.750
O13 O 0.727 0.074 0.578
O14 O 0.227 0.574 0.579
P3 P 0.756 0.576 0.381
O15 O 0.491 0.164 0.409
O16 O 0.773 0.426 0.421
Zr2 Zr 0.750 0.250 0.000
O17 O 0.991 0.836 0.091
O18 O 0.737 0.563 0.278
P4 P 0.244 0.424 0.619
Zr3 Zr 0.750 0.250 0.500
O19 O 0.273 0.926 0.422
O20 O 0.237 0.062 0.278
O21 O 0.991 0.664 0.409
P5 P 0.244 0.076 0.881
O22 O 0.263 0.063 0.778
O23 O 0.976 0.655 0.920
O24 O 0.227 0.926 0.921
O25 O 0.976 0.845 0.580
O26 O 0.763 0.562 0.778
O27 O 0.476 0.345 0.580
O28 O 0.237 0.438 0.222
Zr4 Zr 0.250 0.750 0.000
O29 O 0.009 0.336 0.591
O30 O 0.024 0.155 0.420
P6 P 0.744 0.576 0.881
K3 K 0.781 0.250 0.250
O31 O 0.263 0.437 0.722
K4 K 0.281 0.750 0.250
P7 P 0.744 0.924 0.619
P8 P 0.256 0.424 0.119
O32 O 0.509 0.836 0.591
```

2.
K4PbO3 | meta-GGA SCAN | single point on PBEsol structure

The value obtained for the energy relative to the elements, uncorrected is -1365 meV per atom. As for the total energy: -1.274 Ry per atom. The density of states at the Fermi level is 0.00 states/eV/cell.

Geometry as CIF:
```
data_K4PbO3
_space_group_name_H-M_alt 'P 1'
_space_group_IT_number 1
_space_group_name_Hall 'P 1'
_cell_length_a 6.529
_cell_length_b 11.492
_cell_length_c 18.535
_cell_angle_alpha 90.00
_cell_angle_beta 90.00
_cell_angle_gamma 90.00
loop_
_atom_site_label
_atom_site_type_symbol
_atom_site_fract_x
_atom_site_fract_y
_atom_site_fract_z
O1 O 0.541 0.108 0.658
K1 K 0.556 0.623 0.700
Pb1 Pb 0.114 0.438 0.656
O2 O 0.458 0.351 0.934
O3 O 0.958 0.351 0.566
K2 K 0.766 0.189 0.943
K3 K 0.753 0.555 0.534
K4 K 0.372 0.830 0.851
K5 K 0.628 0.170 0.149
K6 K 0.753 0.945 0.034
K7 K 0.734 0.811 0.443
K8 K 0.747 0.445 0.034
Pb2 Pb 0.886 0.938 0.844
O4 O 0.458 0.149 0.434
O5 O 0.459 0.608 0.842
O6 O 0.390 0.010 0.099
K9 K 0.247 0.055 0.966
Pb3 Pb 0.886 0.562 0.344
K10 K 0.872 0.830 0.649
Pb4 Pb 0.386 0.938 0.656
K11 K 0.056 0.877 0.300
K12 K 0.253 0.945 0.466
Pb5 Pb 0.614 0.438 0.844
Pb6 Pb 0.614 0.062 0.344
O7 O 0.110 0.510 0.099
K13 K 0.234 0.811 0.057
K14 K 0.944 0.377 0.200
K15 K 0.766 0.311 0.443
K16 K 0.444 0.123 0.800
O8 O 0.459 0.892 0.342
O9 O 0.959 0.892 0.158
K17 K 0.234 0.689 0.557
O10 O 0.542 0.851 0.566
K18 K 0.056 0.623 0.800
O11 O 0.390 0.490 0.599
O12 O 0.041 0.392 0.342
Pb7 Pb 0.386 0.562 0.156
O13 O 0.959 0.608 0.658
K19 K 0.944 0.123 0.700
K20 K 0.128 0.170 0.351
O14 O 0.958 0.149 0.066
O15 O 0.541 0.392 0.158
O16 O 0.542 0.649 0.066
K21 K 0.372 0.670 0.351
O17 O 0.610 0.510 0.401
K22 K 0.628 0.330 0.649
K23 K 0.247 0.445 0.466
O18 O 0.110 0.990 0.599
K24 K 0.266 0.311 0.057
K25 K 0.734 0.689 0.943
O19 O 0.042 0.649 0.434
K26 K 0.444 0.377 0.300
O20 O 0.041 0.108 0.842
K27 K 0.266 0.189 0.557
K28 K 0.556 0.877 0.200
O21 O 0.890 0.010 0.401
K29 K 0.253 0.555 0.966
O22 O 0.042 0.851 0.934
Pb8 Pb 0.114 0.062 0.156
O23 O 0.610 0.990 0.901
K30 K 0.128 0.330 0.851
K31 K 0.872 0.670 0.149
O24 O 0.890 0.490 0.901
K32 K 0.747 0.055 0.534
```